Here is BaNiPd2 after structural relaxation from OQMD. Energies are from GGA-PBE.

abc: 4.8466 4.8466 4.8466
angles: 60.00 60.00 60.00
Last column: nearest neighbours and their distance in Å.
Sites, in units of the cell vectors:
Ni  0.0000  0.0000  0.0000  4 Ba 2.97, 4 Pd 2.97
Pd  0.7500  0.7500  0.7500  4 Ni 2.97, 4 Pd 2.97
Pd  0.5000  0.5000  0.5000  4 Pd 2.97, 4 Ba 2.97
Ba  0.2500  0.2500  0.2500  4 Ni 2.97, 4 Pd 2.97

Output
- M_tot: 0.002 μB/f.u.
- Calculated total energy: -4.338 eV/atom
- Calculated volume: 80.5 Å³/cell